# PrHo2Au | the Alexandria database | PBE-GGA | relaxed
data_PrHo2Au
_symmetry_space_group_name_H-M 'R 3 m'
_symmetry_Int_Tables_number 160
_symmetry_space_group_name_Hall 'R 3 -2"'
_cell_length_a 3.7816
_cell_length_b 3.7816
_cell_length_c 29.5528
_cell_angle_alpha 90.00
_cell_angle_beta 90.00
_cell_angle_gamma 120.00
loop_
_atom_site_label
_atom_site_type_symbol
_atom_site_fract_x
_atom_site_fract_y
_atom_site_fract_z
_atom_site_occupancy
Pr1 Pr 0.0000 0.0000 0.0000 1
Ho1 Ho 0.0000 0.0000 0.5652 1
Ho2 Ho 0.0000 0.0000 0.7651 1
Au1 Au 0.0000 0.0000 0.1645 1
# * ρ: 9.1 Mg/m³
# * energy above the lowest structure with this stoichiometry: 116 meV/atom
# * energy of formation from the pure elements: -28.76 kJ per mole of atoms
# * raw total energy: -4.60 eV per atom

# TaCuAg2 | the Alexandria database | PBE-GGA | relaxed
data_TaCuAg2
_symmetry_space_group_name_H-M 'I m m m'
_symmetry_Int_Tables_number 71
_symmetry_space_group_name_Hall '-I 2 2'
_cell_length_a 2.8274
_cell_length_b 4.7866
_cell_length_c 9.7431
_cell_angle_alpha 90.00
_cell_angle_beta 90.00
_cell_angle_gamma 90.00
loop_
_atom_site_label
_atom_site_type_symbol
_atom_site_fract_x
_atom_site_fract_y
_atom_site_fract_z
_atom_site_occupancy
Ta1 Ta 0.0000 0.0000 0.0000 1
Cu1 Cu 0.0000 0.0000 0.5000 1
Ag1 Ag 0.0000 0.5000 0.2320 1
# * ρ: 11.6 Mg/m³
# * energy above the lowest structure with this stoichiometry: 183 meV/atom
# * energy of formation from the pure elements: 33.60 kJ per mole of atoms
# * raw total energy: -5.06 eV per atom